No. 1
## Pm3MgSc (PBE)

Data for a geometry-optimized Pm3MgSc structure.

CIF file:
```
data_Pm3MgSc
_space_group_name_H-M_alt 'C 1 2/m 1'
_space_group_IT_number 12
_cell_length_a 11.887
_cell_length_b 5.495
_cell_length_c 9.576
_cell_angle_alpha 90.00
_cell_angle_beta 106.96
_cell_angle_gamma 90.00
loop_
_space_group_symop_operation_xyz
'x,y,z'
'-x,-y,-z'
'-x,y,-z'
'x,-y,z'
'x+1/2,y+1/2,z'
'-x+1/2,-y+1/2,-z'
'-x+1/2,y+1/2,-z'
'x+1/2,-y+1/2,z'
loop_
_atom_site_label
_atom_site_type_symbol
_atom_site_fract_x
_atom_site_fract_y
_atom_site_fract_z
_atom_site_occupancy
Pm1 Pm 0.135 0.000 0.088 1
Pm2 Pm 0.153 0.500 0.534 1
Pm3 Pm 0.228 0.000 0.778 1
Mg1 Mg 0.045 0.000 0.369 1
Sc1 Sc 0.045 0.500 0.850 1
```

Properties
- E_tot: -4.3902 eV/atom
- Energy relative to the lowest polymorph listed for this composition: 0.13 eV/f.u.
- Energy relative to the elements: 0.045 eV/atom



No. 2
## CaVH (PBE)

Data for a geometry-optimized CaVH structure.

CIF file:
```
data_CaVH
_space_group_name_H-M_alt 'C 1 m 1'
_space_group_IT_number 8
_cell_length_a 7.033
_cell_length_b 5.306
_cell_length_c 6.391
_cell_angle_alpha 90.00
_cell_angle_beta 122.71
_cell_angle_gamma 90.00
loop_
_space_group_symop_operation_xyz
'x,y,z'
'x,-y,z'
'x+1/2,y+1/2,z'
'x+1/2,-y+1/2,z'
loop_
_atom_site_label
_atom_site_type_symbol
_atom_site_fract_x
_atom_site_fract_y
_atom_site_fract_z
_atom_site_occupancy
Ca1 Ca 0.000 0.000 0.000 1
Ca2 Ca 0.181 0.500 0.350 1
V1 V 0.207 0.000 0.684 1
V2 V 0.481 0.000 0.682 1
H1 H 0.197 0.251 0.893 1
```

Properties
- E_tot: -4.7162 eV/atom
- Energy relative to the lowest polymorph listed for this composition: 0.59 eV/f.u.



No. 3
## Be8Fe3Os (PBE)

Data for a geometry-optimized Be8Fe3Os structure.

CIF file:
```
data_Be8Fe3Os
_space_group_name_H-M_alt 'P 3 m 1'
_space_group_IT_number 156
_cell_length_a 4.2263
_cell_length_b 4.2263
_cell_length_c 6.8935
_cell_angle_alpha 90.00
_cell_angle_beta 90.00
_cell_angle_gamma 120.00
loop_
_space_group_symop_operation_xyz
'x,y,z'
'-y,x-y,z'
'-x+y,-x,z'
'-y,-x,z'
'-x+y,y,z'
'x,x-y,z'
loop_
_atom_site_label
_atom_site_type_symbol
_atom_site_fract_x
_atom_site_fract_y
_atom_site_fract_z
_atom_site_occupancy
Be1 Be 0.0000 0.0000 0.0000 1
Be2 Be 0.0000 0.0000 0.4961 1
Be3 Be 0.1696 0.3393 0.7489 1
Be4 Be 0.3411 0.1706 0.2446 1
Fe1 Fe 0.3333 0.6667 0.0574 1
Fe2 Fe 0.3333 0.6667 0.4300 1
Fe3 Fe 0.6667 0.3333 0.9392 1
Os1 Os 0.6667 0.3333 0.5582 1
```

Properties
- E_tot: -5.8347 eV/atom
- Energy relative to the elements: -0.299 eV/atom



No. 4
## La2Tc (PBE)

Data for a geometry-optimized La2Tc structure.

CIF file:
```
data_La2Tc
_space_group_name_H-M_alt 'P n n m'
_space_group_IT_number 58
_cell_length_a 6.479
_cell_length_b 6.523
_cell_length_c 4.499
_cell_angle_alpha 90.00
_cell_angle_beta 90.00
_cell_angle_gamma 90.00
loop_
_space_group_symop_operation_xyz
'x,y,z'
'-x,-y,-z'
'-x,-y,z'
'x,y,-z'
'x+1/2,-y+1/2,-z+1/2'
'-x+1/2,y+1/2,z+1/2'
'-x+1/2,y+1/2,-z+1/2'
'x+1/2,-y+1/2,z+1/2'
loop_
_atom_site_label
_atom_site_type_symbol
_atom_site_fract_x
_atom_site_fract_y
_atom_site_fract_z
_atom_site_occupancy
La1 La 0.194 0.203 0.000 1
Tc1 Tc 0.000 0.000 0.500 1
```

Properties
- E_tot: -6.5879 eV/atom
- Energy relative to the lowest polymorph listed for this composition: 0.35 eV/f.u.
- Energy relative to the elements: 0.152 eV/atom



No. 5
## Na2MgP2S6 (PBE)

Data for a geometry-optimized Na2MgP2S6 structure.

CIF file:
```
data_Na2MgP2S6
_space_group_name_H-M_alt 'P -3'
_space_group_IT_number 147
_cell_length_a 6.5762
_cell_length_b 6.5762
_cell_length_c 6.5750
_cell_angle_alpha 90.00
_cell_angle_beta 90.00
_cell_angle_gamma 120.00
loop_
_space_group_symop_operation_xyz
'x,y,z'
'-x,-y,-z'
'-y,x-y,z'
'y,-x+y,-z'
'-x+y,-x,z'
'x-y,x,-z'
loop_
_atom_site_label
_atom_site_type_symbol
_atom_site_fract_x
_atom_site_fract_y
_atom_site_fract_z
_atom_site_occupancy
Na1 Na 0.3333 0.6667 0.3721 1
Mg1 Mg 0.0000 0.0000 0.0000 1
P1 P 0.3333 0.6667 0.8561 1
S1 S 0.0813 0.3431 0.7482 1
```

Properties
- E_tot: -4.2474 eV/atom
- Raw formation energy: -0.628 eV/atom



No. 6
## BaCa2Cl (PBE)

Data for a geometry-optimized BaCa2Cl structure.

CIF file:
```
data_BaCa2Cl
_space_group_name_H-M_alt 'I -4 m 2'
_space_group_IT_number 119
_space_group_name_Hall 'I -4 -2'
_cell_length_a 5.235
_cell_length_b 5.235
_cell_length_c 12.245
_cell_angle_alpha 90.00
_cell_angle_beta 90.00
_cell_angle_gamma 90.00
loop_
_atom_site_label
_atom_site_type_symbol
_atom_site_fract_x
_atom_site_fract_y
_atom_site_fract_z
_atom_site_occupancy
Ba1 Ba 0.000 0.000 0.000 1
Ca1 Ca 0.000 0.000 0.500 1
Ca2 Ca 0.000 0.500 0.750 1
Cl1 Cl 0.000 0.500 0.250 1
```

Properties
- E_tot: -2.3061 eV/atom
- Energy relative to the lowest polymorph listed for this composition: 1.61 eV/f.u.
- Raw formation energy: -0.363 eV/atom



No. 7
## Bi2TePF (PBE)

Data for a geometry-optimized Bi2TePF structure.

CIF file:
```
data_Bi2TePF
_space_group_name_H-M_alt 'P 4/m m m'
_space_group_IT_number 123
_space_group_name_Hall '-P 4 2'
_cell_length_a 5.889
_cell_length_b 5.889
_cell_length_c 4.274
_cell_angle_alpha 90.00
_cell_angle_beta 90.00
_cell_angle_gamma 90.00
loop_
_atom_site_label
_atom_site_type_symbol
_atom_site_fract_x
_atom_site_fract_y
_atom_site_fract_z
_atom_site_occupancy
Bi1 Bi 0.000 0.500 0.000 1
Te1 Te 0.000 0.000 0.000 1
P1 P 0.500 0.500 0.500 1
F1 F 0.000 0.000 0.500 1
```

Properties
- E_tot: -3.4161 eV/atom
- Raw formation energy: 0.221 eV/atom



No. 8
## Y2NbGa2 (PBE)

Data for a geometry-optimized Y2NbGa2 structure.

CIF file:
```
data_Y2NbGa2
_space_group_name_H-M_alt 'P 4/m b m'
_space_group_IT_number 127
_space_group_name_Hall '-P 4 2ab'
_cell_length_a 7.290
_cell_length_b 7.290
_cell_length_c 4.244
_cell_angle_alpha 90.00
_cell_angle_beta 90.00
_cell_angle_gamma 90.00
loop_
_atom_site_label
_atom_site_type_symbol
_atom_site_fract_x
_atom_site_fract_y
_atom_site_fract_z
_atom_site_occupancy
Y1 Y 0.178 0.322 0.000 1
Nb1 Nb 0.000 0.000 0.500 1
Ga1 Ga 0.127 0.627 0.500 1
```

Properties
- E_tot: -6.1394 eV/atom
- Energy relative to the elements: -0.329 eV/atom



No. 9
## TiWBr2 (PBE)

Data for a geometry-optimized TiWBr2 structure.

CIF file:
```
data_TiWBr2
_space_group_name_H-M_alt 'I -4 2 d'
_space_group_IT_number 122
_space_group_name_Hall 'I -4 2bw'
_cell_length_a 4.358
_cell_length_b 4.358
_cell_length_c 16.669
_cell_angle_alpha 90.00
_cell_angle_beta 90.00
_cell_angle_gamma 90.00
loop_
_atom_site_label
_atom_site_type_symbol
_atom_site_fract_x
_atom_site_fract_y
_atom_site_fract_z
_atom_site_occupancy
Ti1 Ti 0.000 0.000 0.000 1
W1 W 0.000 0.000 0.500 1
Br1 Br 0.248 0.250 0.625 1
```

Properties
- E_tot: -5.4696 eV/atom
- Energy relative to the lowest polymorph listed for this composition: 1.19 eV/f.u.
- Raw formation energy: 0.579 eV/atom



No. 10
## Ni3B (PBE)

Data for a geometry-optimized Ni3B structure.

CIF file:
```
data_Ni3B
_space_group_name_H-M_alt 'P n m a'
_space_group_IT_number 62
_cell_length_a 5.193
_cell_length_b 6.635
_cell_length_c 4.387
_cell_angle_alpha 90.00
_cell_angle_beta 90.00
_cell_angle_gamma 90.00
loop_
_space_group_symop_operation_xyz
'x,y,z'
'-x,-y,-z'
'-x+1/2,-y,z+1/2'
'x+1/2,y,-z+1/2'
'x+1/2,-y+1/2,-z+1/2'
'-x+1/2,y+1/2,z+1/2'
'-x,y+1/2,-z'
'x,-y+1/2,z'
loop_
_atom_site_label
_atom_site_type_symbol
_atom_site_fract_x
_atom_site_fract_y
_atom_site_fract_z
_atom_site_occupancy
Ni1 Ni 0.028 0.250 0.133 1
Ni2 Ni 0.179 0.063 0.656 1
B1 B 0.118 0.750 0.439 1
```

Properties
- E_tot: -6.2666 eV/atom
- Energy relative to the elements: -0.261 eV/atom



No. 11
## RbPH2O4 (PBE)

Data for a geometry-optimized RbPH2O4 structure.

CIF file:
```
data_RbPH2O4
_space_group_name_H-M_alt 'P 1 21/c 1'
_space_group_IT_number 14
_cell_length_a 9.498
_cell_length_b 6.404
_cell_length_c 15.505
_cell_angle_alpha 90.00
_cell_angle_beta 106.33
_cell_angle_gamma 90.00
loop_
_space_group_symop_operation_xyz
'x,y,z'
'-x,-y,-z'
'-x,y+1/2,-z+1/2'
'x,-y+1/2,z+1/2'
loop_
_atom_site_label
_atom_site_type_symbol
_atom_site_fract_x
_atom_site_fract_y
_atom_site_fract_z
_atom_site_occupancy
Rb1 Rb 0.084 0.234 0.387 1
Rb2 Rb 0.408 0.738 0.616 1
P1 P 0.154 0.247 0.132 1
P2 P 0.349 0.731 0.367 1
H1 H 0.096 0.720 0.424 1
H2 H 0.237 0.022 0.744 1
H3 H 0.261 0.516 0.765 1
H4 H 0.406 0.225 0.573 1
O1 O 0.001 0.738 0.941 1
O2 O 0.139 0.101 0.710 1
O3 O 0.183 0.023 0.167 1
O4 O 0.236 0.651 0.413 1
O5 O 0.264 0.166 0.586 1
O6 O 0.314 0.534 0.833 1
O7 O 0.367 0.594 0.290 1
O8 O 0.499 0.745 0.445 1
```

Properties
- E_tot: -5.9641 eV/atom
- Energy relative to the lowest polymorph listed for this composition: 0.00 eV/f.u.



No. 12
## YIr2RuC (PBE)

Data for a geometry-optimized YIr2RuC structure.

CIF file:
```
data_YIr2RuC
_space_group_name_H-M_alt 'P 4/m m m'
_space_group_IT_number 123
_space_group_name_Hall '-P 4 2'
_cell_length_a 4.185
_cell_length_b 4.185
_cell_length_c 4.214
_cell_angle_alpha 90.00
_cell_angle_beta 90.00
_cell_angle_gamma 90.00
loop_
_atom_site_label
_atom_site_type_symbol
_atom_site_fract_x
_atom_site_fract_y
_atom_site_fract_z
_atom_site_occupancy
Y1 Y 0.000 0.000 0.000 1
Ir1 Ir 0.000 0.500 0.500 1
Ru1 Ru 0.500 0.500 0.000 1
C1 C 0.500 0.500 0.500 1
```

Properties
- E_tot: -8.7910 eV/atom
- Energy relative to the elements: -0.254 eV/atom